The following is a DFT calculation (PBE with a Hubbard U) of a relaxed Sc2NiIrF crystal.

a b c (Å): 4.3990 4.3990 3.9267
angles (deg): 90.00 90.00 90.00
Space group P4/mmm (No. 123)
Inequivalent atoms, fractional coordinates:
Sc 0.0000 0.5000 0.0000 [2 per cell]
Ni 0.0000 0.0000 0.5000 [1 per cell]
Ir 0.5000 0.5000 0.5000 [1 per cell]
F 0.0000 0.0000 0.0000 [1 per cell]

Properties
For the total energy, the calculation gives -6.08 eV per atom. The value obtained for the total moment is 0.226 μB/atom.